Density functional theory data (GGA-PBE) for a relaxed structure of Ta5MoRu4.

## Properties
Crystal system: tetragonal
DOS at the Fermi energy in states/eV per cell: 9.17
ρ in g cm⁻³: 14.401
Energy relative to the elements in eV per atom: -0.322

```
10
Lattice="3.218 0.000 0.000 0.000 3.218 0.000 0.000 0.000 15.639" Properties=species:S:1:pos:R:3 pbc="T T T"
Ta 1.609 1.609 10.923
Ta 1.609 1.609 14.086
Ta 1.609 1.609 1.553
Ta 1.609 1.609 4.716
Ta 1.609 1.609 7.819
Ru 0.000 0.000 6.280
Ru 0.000 0.000 12.426
Ru 0.000 0.000 9.358
Ru 0.000 0.000 3.213
Mo 0.000 0.000 0.000
```

Density functional theory data (GGA-PBE) for a relaxed structure of TaMo2Ru.

## Properties
Crystal system: tetragonal
ΔE to the lowest computed polymorph in eV per atom: 0.213
DOS at the Fermi energy in states/eV per cell: 4.56
ρ in g cm⁻³: 12.195
Energy relative to the elements in eV per atom: 0.089

```
4
Lattice="-1.667 -2.061 -0.820 0.020 -1.040 2.573 -6.697 4.649 1.930" Properties=species:S:1:pos:R:3 pbc="T T T"
Mo -0.048 0.033 0.014
Mo -2.648 -0.284 1.403
Ta -5.722 1.850 2.288
Ru -3.275 2.273 0.944
```

Density functional theory data (GGA-PBE) for a relaxed structure of Ta3MoRu2.

## Properties
Crystal system: tetragonal
ΔE to the lowest computed polymorph in eV per atom: 0.021
DOS at the Fermi energy in states/eV per cell: 3.90
ρ in g cm⁻³: 14.281
Energy relative to the elements in eV per atom: -0.342

```
6
Lattice="3.204 0.000 0.000 0.000 3.204 0.000 0.000 0.000 9.528" Properties=species:S:1:pos:R:3 pbc="T T T"
Ru 1.602 1.602 7.990
Ru 1.602 1.602 1.538
Ta 0.000 0.000 6.321
Ta 0.000 0.000 3.206
Ta 0.000 0.000 0.000
Mo 1.602 1.602 4.764
```

Density functional theory data (GGA-PBE) for a relaxed structure of TaMo3Ru.

## Properties
Crystal system: cubic
ΔE to the lowest computed polymorph in eV per atom: 0.000
DOS at the Fermi energy in states/eV per cell: 4.37
ρ in g cm⁻³: 9.528
Energy relative to the elements in eV per atom: 1.541

```
5
Lattice="4.631 0.000 0.000 0.000 4.631 0.000 0.000 0.000 4.631" Properties=species:S:1:pos:R:3 pbc="T T T"
Ta 2.315 2.315 2.315
Mo 0.000 0.000 2.315
Mo 2.315 0.000 0.000
Mo 0.000 2.315 0.000
Ru 0.000 0.000 0.000
```

Density functional theory data (GGA-PBE) for a relaxed structure of TaMoRu.

## Properties
Crystal system: triclinic
ΔE to the lowest computed polymorph in eV per atom: 0.075
DOS at the Fermi energy in states/eV per cell: 3.97
ρ in g cm⁻³: 12.994
Energy relative to the elements in eV per atom: -0.122

```
6
Lattice="-2.198 1.648 -1.333 -2.485 -0.089 3.752 1.866 6.591 2.117" Properties=species:S:1:pos:R:3 pbc="T T T"
Ta -1.217 1.568 0.895
Ta -1.600 6.584 3.642
Ru -3.525 2.626 2.202
Ru 0.708 5.525 2.335
Mo -1.485 3.663 3.532
Mo -1.332 4.488 1.005
```

Density functional theory data (GGA-PBE) for a relaxed structure of TaMoRu.

## Properties
Crystal system: orthorhombic
ΔE to the lowest computed polymorph in eV per atom: 0.082
DOS at the Fermi energy in states/eV per cell: 11.56
ρ in g cm⁻³: 13.051
Energy relative to the elements in eV per atom: -0.116

```
12
Lattice="4.501 0.000 0.000 0.000 9.542 0.000 0.000 0.000 4.478" Properties=species:S:1:pos:R:3 pbc="T T T"
Ta 0.000 4.771 2.239
Ta 2.251 0.000 2.239
Ta 2.251 4.771 0.000
Ta 0.000 0.000 0.000
Ru 2.251 1.502 0.000
Ru 0.000 3.269 0.000
Ru 2.251 8.040 0.000
Ru 0.000 6.273 0.000
Mo 2.251 6.375 2.239
Mo 0.000 7.937 2.239
Mo 2.251 3.166 2.239
Mo 0.000 1.604 2.239
```

Density functional theory data (GGA-PBE) for a relaxed structure of TaMo2Ru.

## Properties
Crystal system: tetragonal
ΔE to the lowest computed polymorph in eV per atom: 0.217
DOS at the Fermi energy in states/eV per cell: 4.49
ρ in g cm⁻³: 12.207
Energy relative to the elements in eV per atom: 0.093

```
4
Lattice="2.761 0.000 0.000 0.000 2.761 0.000 0.000 0.000 8.458" Properties=species:S:1:pos:R:3 pbc="T T T"
Ru 1.380 1.380 2.115
Ta 1.380 1.380 6.344
Mo 0.000 0.000 4.025
Mo 0.000 0.000 0.204
```

Density functional theory data (GGA-PBE) for a relaxed structure of Ta2MoRu.

## Properties
Crystal system: tetragonal
ΔE to the lowest computed polymorph in eV per atom: 0.891
DOS at the Fermi energy in states/eV per cell: 8.61
ρ in g cm⁻³: 13.093
Energy relative to the elements in eV per atom: 0.515

```
8
Lattice="7.166 0.000 0.000 0.000 7.166 0.000 3.583 3.583 2.761" Properties=species:S:1:pos:R:3 pbc="T T T"
Ru 7.166 3.583 1.380
Ru 0.000 0.000 0.000
Mo 3.583 3.583 0.000
Mo 3.583 7.166 1.380
Ta 5.374 5.285 2.071
Ta 5.464 1.791 0.690
Ta 1.702 5.374 0.690
Ta 8.957 9.047 2.071
```

Density functional theory data (GGA-PBE) for a relaxed structure of TaMoRu.

## Properties
Crystal system: hexagonal
ΔE to the lowest computed polymorph in eV per atom: 0.452
DOS at the Fermi energy in states/eV per cell: 11.57
ρ in g cm⁻³: 12.353
Energy relative to the elements in eV per atom: 0.254

```
9
Lattice="4.124 0.000 0.000 0.000 6.533 0.000 0.000 -3.266 5.658" Properties=species:S:1:pos:R:3 pbc="T T T"
Ta 0.000 3.266 1.886
Ta 0.000 0.000 3.772
Ta 2.062 0.000 0.000
Mo 2.062 -1.404 2.432
Mo 2.062 1.862 3.225
Mo 2.062 2.809 0.000
Ru 0.000 0.808 1.399
Ru 0.000 -2.459 4.259
Ru 0.000 4.918 0.000
```

Density functional theory data (GGA-PBE) for a relaxed structure of TaMoRu.

## Properties
Crystal system: monoclinic
ΔE to the lowest computed polymorph in eV per atom: 0.066
DOS at the Fermi energy in states/eV per cell: 10.22
ρ in g cm⁻³: 13.028
Energy relative to the elements in eV per atom: -0.131

```
12
Lattice="6.433 0.000 -0.002 0.000 3.168 0.000 -3.265 0.000 9.454" Properties=species:S:1:pos:R:3 pbc="T T T"
Ta -1.657 0.000 9.349
Ta 4.826 0.000 0.104
Ta -0.024 1.584 4.622
Ta 3.193 1.584 4.831
Ru 3.057 1.584 7.958
Ru 4.689 0.000 3.230
Ru -1.521 0.000 6.222
Ru 0.112 1.584 1.495
Mo 1.618 0.000 3.116
Mo -0.014 1.584 7.843
Mo 3.183 1.584 1.609
Mo 1.551 0.000 6.336
```

Density functional theory data (GGA-PBE) for a relaxed structure of Ta2MoRu.

## Properties
Crystal system: orthorhombic
ΔE to the lowest computed polymorph in eV per atom: 0.251
DOS at the Fermi energy in states/eV per cell: 4.00
ρ in g cm⁻³: 14.062
Energy relative to the elements in eV per atom: -0.125

```
4
Lattice="-1.463 0.932 -2.251 2.362 -1.361 -0.805 -4.436 -7.552 -0.245" Properties=species:S:1:pos:R:3 pbc="T T T"
Ta -4.415 -7.516 -0.243
Ta -2.239 -3.812 -0.123
Mo -0.660 -2.102 -1.589
Ru -2.878 -5.878 -1.711
```

Density functional theory data (GGA-PBE) for a relaxed structure of Ta2MoRu.

## Properties
Crystal system: cubic
ΔE to the lowest computed polymorph in eV per atom: 0.298
DOS at the Fermi energy in states/eV per cell: 4.42
ρ in g cm⁻³: 14.141
Energy relative to the elements in eV per atom: -0.078

```
4
Lattice="4.528 0.000 0.000 2.264 3.921 0.000 2.264 1.307 3.697" Properties=species:S:1:pos:R:3 pbc="T T T"
Ta 2.264 1.307 0.924
Ta 0.000 0.000 0.000
Ru 6.792 3.921 2.773
Mo 4.528 2.614 1.848
```

Density functional theory data (GGA-PBE) for a relaxed structure of Ta2MoRu.

## Properties
Crystal system: trigonal
ΔE to the lowest computed polymorph in eV per atom: 0.450
DOS at the Fermi energy in states/eV per cell: 4.53
ρ in g cm⁻³: 13.690
Energy relative to the elements in eV per atom: 0.074

```
4
Lattice="8.469 -0.023 -0.014 7.919 3.002 -0.014 7.919 1.440 2.634" Properties=species:S:1:pos:R:3 pbc="T T T"
Ta 12.148 2.208 1.303
Ta 0.005 0.001 0.001
Ru 18.230 3.314 1.955
Mo 6.077 1.105 0.652
```

Density functional theory data (GGA-PBE) for a relaxed structure of Ta2MoRu.

## Properties
Crystal system: orthorhombic
ΔE to the lowest computed polymorph in eV per atom: 0.240
DOS at the Fermi energy in states/eV per cell: 3.06
ρ in g cm⁻³: 14.069
Energy relative to the elements in eV per atom: -0.136

```
4
Lattice="5.240 0.006 0.014 4.273 3.034 0.014 2.100 0.671 4.162" Properties=species:S:1:pos:R:3 pbc="T T T"
Ta 9.508 3.038 0.031
Ta 5.812 1.857 2.092
Mo 8.710 2.783 3.143
Ru 2.903 0.928 1.048
```

Density functional theory data (GGA-PBE) for a relaxed structure of TaMo2Ru.

## Properties
Crystal system: orthorhombic
ΔE to the lowest computed polymorph in eV per atom: 0.188
DOS at the Fermi energy in states/eV per cell: 4.58
ρ in g cm⁻³: 12.284
Energy relative to the elements in eV per atom: 0.064

```
4
Lattice="2.759 0.006 0.000 -0.884 2.614 0.000 0.000 0.000 8.877" Properties=species:S:1:pos:R:3 pbc="T T T"
Mo 0.000 0.000 0.087
Mo 0.000 0.000 4.351
Ta 0.937 1.310 6.658
Ru 0.937 1.310 2.219
```

Density functional theory data (GGA-PBE) for a relaxed structure of Ta4MoRu.

## Properties
Crystal system: tetragonal
ΔE to the lowest computed polymorph in eV per atom: 0.000
DOS at the Fermi energy in states/eV per cell: 3.00
ρ in g cm⁻³: 14.991
Energy relative to the elements in eV per atom: -0.272

```
6
Lattice="3.217 -0.001 0.000 0.001 3.217 0.000 0.000 0.000 9.856" Properties=species:S:1:pos:R:3 pbc="T T T"
Mo 1.609 1.608 4.928
Ta 1.608 1.608 8.271
Ta 0.000 0.000 3.329
Ta 3.217 3.216 6.527
Ta 1.609 1.608 1.586
Ru 0.000 0.000 0.000
```

Density functional theory data (GGA-PBE) for a relaxed structure of TaMoRu.

## Properties
Crystal system: monoclinic
ΔE to the lowest computed polymorph in eV per atom: 0.095
DOS at the Fermi energy in states/eV per cell: 9.03
ρ in g cm⁻³: 12.929
Energy relative to the elements in eV per atom: -0.102

```
12
Lattice="4.415 0.000 -0.009 0.000 3.147 0.000 -1.919 0.000 13.979" Properties=species:S:1:pos:R:3 pbc="T T T"
Ru 2.253 1.574 2.243
Ru 1.202 0.000 4.737
Ru 1.293 0.000 9.233
Ru 0.242 1.574 11.727
Mo 1.248 1.574 6.985
Mo -0.960 0.000 6.990
Mo 0.000 1.574 0.000
Mo 2.207 0.000 -0.005
Ta 3.429 1.574 4.714
Ta 2.469 0.000 11.703
Ta -0.933 1.574 9.256
Ta 0.027 0.000 2.267
```

Density functional theory data (GGA-PBE) for a relaxed structure of TaMo2Ru.

## Properties
Crystal system: tetragonal
ΔE to the lowest computed polymorph in eV per atom: 0.719
DOS at the Fermi energy in states/eV per cell: 7.19
ρ in g cm⁻³: 11.417
Energy relative to the elements in eV per atom: 0.595

```
8
Lattice="-6.252 -2.104 3.120 0.309 -6.317 -3.640 -1.641 -5.270 1.692" Properties=species:S:1:pos:R:3 pbc="T T T"
Ta -5.432 -5.792 2.276
Ta 0.000 0.000 0.000
Ru -2.972 -4.210 -0.260
Ru -2.152 -7.898 -1.104
Mo -4.149 -3.378 1.853
Mo -1.129 -5.572 -1.397
Mo -3.453 -7.242 0.998
Mo -6.437 -11.189 0.890
```

Density functional theory data (GGA-PBE) for a relaxed structure of Ta3Mo2Ru.

## Properties
Crystal system: tetragonal
DOS at the Fermi energy in states/eV per cell: 3.55
ρ in g cm⁻³: 13.937
Energy relative to the elements in eV per atom: -0.300

```
6
Lattice="3.210 0.000 0.000 0.000 3.210 0.000 0.000 0.000 9.665" Properties=species:S:1:pos:R:3 pbc="T T T"
Ta 0.000 0.000 6.449
Ta 0.000 0.000 0.000
Ta 0.000 0.000 3.217
Mo 1.605 1.605 1.638
Mo 1.605 1.605 8.027
Ru 1.605 1.605 4.833
```

Density functional theory data (GGA-PBE) for a relaxed structure of Ta2MoRu.

## Properties
Crystal system: orthorhombic
ΔE to the lowest computed polymorph in eV per atom: 0.360
DOS at the Fermi energy in states/eV per cell: 4.81
ρ in g cm⁻³: 14.000
Energy relative to the elements in eV per atom: -0.016

```
4
Lattice="-1.982 0.947 1.766 0.231 -2.800 0.224 6.135 1.013 6.340" Properties=species:S:1:pos:R:3 pbc="T T T"
Mo 3.127 0.516 3.232
Ta 6.058 1.000 6.261
Ta 0.691 -0.668 2.613
Ru 3.711 -0.169 5.734
```